No. 1
TlSbBr2 (GGA-PBEsol, optimized geometry); formation energy (no corrections) = -255 meV/atom; total moment = 0.00 μB per formula unit
1.0
-3.0563 -1.0595 1.2423
1.6637 -4.0059 -4.3044
4.1842 -1.2000 4.2890
Br Tl Sb
2 1 1
Direct
0.0000 0.5000 0.0000 Br
0.0000 0.0000 0.5000 Br
0.0000 0.5000 0.5000 Tl
0.0000 0.0000 0.0000 Sb

---

No. 2
Ir7Pt (GGA-PBEsol, optimized geometry); total moment = 0.00 μB per formula unit; energy relative to the elements = 0.049 eV per atom
1.0
-0.7423 4.3202 -3.2064
-4.7263 2.6737 0.0970
-0.2619 4.9745 2.1636
Ir Pt
7 1
Direct
0.0000 0.0000 0.5000 Ir
0.5000 0.5000 0.0000 Ir
0.5000 0.5000 0.5000 Ir
0.0000 0.5000 0.5000 Ir
0.0000 0.5000 0.0000 Ir
0.5000 0.0000 0.5000 Ir
0.5000 0.0000 0.0000 Ir
0.0000 0.0000 0.0000 Pt

---

No. 3
YGa2Ni (GGA-PBEsol, optimized geometry); total moment = 0.00 μB per formula unit; energy relative to the elements = -0.709 eV per atom
1.0
4.0703 0.0000 0.0000
-2.0351 4.9894 0.0000
0.0000 0.0000 6.5639
Ga Ni Y
4 2 2
Direct
0.6447 0.2895 0.9458 Ga
0.6447 0.2895 0.5542 Ga
0.3553 0.7105 0.4458 Ga
0.3553 0.7105 0.0542 Ga
0.7894 0.5788 0.2500 Ni
0.2106 0.4212 0.7500 Ni
0.0714 0.1427 0.2500 Y
0.9286 0.8573 0.7500 Y

---

No. 4
CdPb2Au (GGA-PBEsol, optimized geometry); total moment = 0.00 μB per formula unit; energy relative to the elements = 0.020 eV per atom
1.0
3.3413 0.0000 0.0000
0.0000 5.3744 -0.0470
-1.6707 -2.3944 5.4334
Au Pb Cd
1 2 1
Direct
0.4888 0.5093 0.9776 Au
0.0095 0.0193 0.0191 Pb
0.2209 0.7082 0.4419 Pb
0.7807 0.2632 0.5614 Cd

---

No. 5
In2CoAs (GGA-PBEsol, optimized geometry); total moment = 0.01 μB per formula unit; energy relative to the elements = 0.197 eV per atom
1.0
2.9839 0.0000 0.0000
0.0000 2.9839 0.0000
0.0000 0.0000 7.9999
In As Co
2 1 1
Direct
0.0000 0.0000 0.7042 In
0.0000 0.0000 0.2958 In
0.5000 0.5000 0.0000 As
0.5000 0.5000 0.5000 Co

---

No. 6
PIrCl2 (GGA-PBEsol, optimized geometry); formation energy (no corrections) = -287 meV/atom; total moment = 0.00 μB per formula unit
1.0
-0.8988 0.1809 3.2995
0.2480 -2.7712 1.9966
6.9758 1.1137 3.6163
P Cl Ir
1 2 1
Direct
0.2288 0.2288 0.3136 P
0.9767 0.9767 0.0700 Cl
0.7787 0.7787 0.6638 Cl
0.5158 0.5158 0.4526 Ir

---

No. 7
BeSiP2 (GGA-PBEsol, optimized geometry); formation energy (no corrections) = 228 meV/atom; total moment = 0.00 μB per formula unit
1.0
3.2492 0.0000 0.0000
0.0000 3.2468 0.0000
-1.6246 -1.6234 5.0438
P Si Be
2 1 1
Direct
0.9455 0.9455 0.8909 P
0.7233 0.2233 0.4467 P
0.5486 0.5486 0.0972 Si
0.2826 0.7826 0.5652 Be

---

No. 8
NaY3Ta (GGA-PBEsol, optimized geometry); total moment = 0.00 μB per formula unit; energy relative to the elements = 0.614 eV per atom
1.0
5.5166 0.0000 0.0000
0.0000 5.5166 0.0000
0.0000 0.0000 5.5166
Y Ta Na
3 1 1
Direct
0.0000 0.0000 0.5000 Y
0.0000 0.5000 0.0000 Y
0.5000 0.0000 0.0000 Y
0.0000 0.0000 0.0000 Ta
0.5000 0.5000 0.5000 Na

---

No. 9
LiNiF3 (GGA-PBEsol, optimized geometry); formation energy (no corrections) = -1904 meV/atom; total moment = 1.97 μB per formula unit
1.0
-0.0839 -1.6049 3.5561
-0.9727 -3.4360 -1.5737
3.7783 -0.9202 -0.3261
F Ni Li
3 1 1
Direct
0.0000 0.0000 0.5000 F
0.0000 0.5000 0.0000 F
0.5000 0.0000 0.0000 F
0.0000 0.0000 0.0000 Ni
0.5000 0.5000 0.5000 Li

---

No. 10
YAlAu2 (GGA-PBEsol, optimized geometry); total moment = 0.00 μB per formula unit; energy relative to the elements = -0.738 eV per atom
1.0
-3.0438 3.6151 0.5292
-4.2413 -0.7391 2.0195
-0.9034 1.7323 4.3355
Y Al Au
1 1 2
Direct
0.5000 0.5000 0.5000 Y
0.0000 0.0000 0.0000 Al
0.7500 0.7500 0.7500 Au
0.2500 0.2500 0.2500 Au

---

No. 11
Cu2OsW (GGA-PBEsol, optimized geometry); total moment = 0.00 μB per formula unit; energy relative to the elements = 0.510 eV per atom
1.0
3.1558 0.0000 0.0000
0.0000 3.1558 0.0000
0.0000 0.0000 5.2498
Os W Cu
1 1 2
Direct
0.5000 0.5000 0.0000 Os
0.5000 0.5000 0.5000 W
0.0000 0.0000 0.7534 Cu
0.0000 0.0000 0.2466 Cu

---

No. 12
Zn2CdPt2 (GGA-PBEsol, optimized geometry); total moment = 0.00 μB per formula unit; energy relative to the elements = -0.140 eV per atom
1.0
-2.3258 3.0971 0.8263
-2.0976 -2.2425 2.5011
5.4883 0.9667 2.3341
Zn Cd Pt
2 1 2
Direct
0.3916 0.3916 0.7832 Zn
0.6084 0.6084 0.2168 Zn
0.0000 0.0000 0.0000 Cd
0.7500 0.2500 0.5000 Pt
0.2500 0.7500 0.5000 Pt

---

No. 13
LiRuI2N (GGA-PBEsol, optimized geometry); formation energy (no corrections) = -88 meV/atom; total moment = 0.00 μB per formula unit
1.0
-1.2960 -1.8687 2.8998
2.1424 -4.6711 -2.0526
4.7165 0.9640 2.7291
N Li Ru I
1 1 1 2
Direct
0.5000 0.0000 0.0000 N
0.5000 0.5000 0.5000 Li
0.0000 0.0000 0.0000 Ru
0.0000 0.0000 0.5000 I
0.0000 0.5000 0.0000 I

---

No. 14
TaI2BrN (GGA-PBEsol, optimized geometry); formation energy (no corrections) = 1811 meV/atom; total moment = 2.50 μB per formula unit
1.0
3.6086 0.0000 0.0000
0.0000 5.9460 0.0000
0.0000 0.0000 5.9460
Ta Br I N
1 1 2 1
Direct
0.5000 0.5000 0.5000 Ta
0.0000 0.0000 0.0000 Br
0.0000 0.5000 0.0000 I
0.0000 0.0000 0.5000 I
0.5000 0.0000 0.0000 N

---

No. 15
Tb3Mn2C6 (GGA-PBEsol, optimized geometry); total moment = 0.00 μB per formula unit; energy relative to the elements = -0.336 eV per atom
1.0
-4.7744 -0.7432 1.1663
2.0871 -6.1214 4.6433
-0.4009 7.3472 3.0406
Tb C Mn
6 12 4
Direct
0.7500 0.3139 0.3783 Tb
0.7500 0.0644 0.6861 Tb
0.2500 0.9356 0.3139 Tb
0.2500 0.6861 0.6217 Tb
0.7500 0.6217 0.9356 Tb
0.2500 0.3783 0.0644 Tb
0.7500 0.8155 0.7778 C
0.7500 0.8660 0.2869 C
0.2500 0.5791 0.8660 C
0.2500 0.0377 0.8155 C
0.2500 0.7778 0.9623 C
0.2500 0.1340 0.7131 C
0.2500 0.1845 0.2222 C
0.2500 0.2869 0.4209 C
0.7500 0.4209 0.1340 C
0.7500 0.2222 0.0377 C
0.7500 0.9623 0.1845 C
0.7500 0.7131 0.5791 C
0.2500 0.3333 0.6667 Mn
0.7500 0.6667 0.3333 Mn
0.5000 0.0000 0.0000 Mn
0.0000 0.0000 0.0000 Mn

---

No. 16
MgRuRh2 (GGA-PBEsol, optimized geometry); total moment = 0.00 μB per formula unit; energy relative to the elements = -0.074 eV per atom
1.0
-0.0269 -2.2497 1.5524
-0.9655 -2.5640 -3.7325
4.5394 1.0310 -0.8338
Ru Rh Mg
1 2 1
Direct
0.5115 0.5366 0.0230 Ru
0.2511 0.7199 0.5021 Rh
0.9912 0.0190 0.9825 Rh
0.7462 0.2246 0.4924 Mg

---

No. 17
SrTcAu2 (GGA-PBEsol, optimized geometry); total moment = 0.00 μB per formula unit; energy relative to the elements = 0.184 eV per atom
1.0
2.8740 0.0000 0.0000
0.0000 3.9293 0.0000
0.0000 0.0000 6.9234
Au Sr Tc
2 1 1
Direct
0.0000 0.0000 0.3014 Au
0.0000 0.0000 0.6986 Au
0.5000 0.5000 0.0000 Sr
0.5000 0.5000 0.5000 Tc

---

No. 18
PmNdMg2 (GGA-PBEsol, optimized geometry); total moment = 0.00 μB per formula unit; energy relative to the elements = -0.102 eV per atom
1.0
-1.2214 -5.1571 1.0579
3.9432 -3.5680 0.9633
0.6991 -1.9754 4.9816
Nd Pm Mg
1 1 2
Direct
0.5000 0.5000 0.5000 Nd
0.0000 0.0000 0.0000 Pm
0.7500 0.7500 0.7500 Mg
0.2500 0.2500 0.2500 Mg

---

No. 19
CuHgP2S (GGA-PBEsol, optimized geometry); formation energy (no corrections) = 744 meV/atom; total moment = 0.00 μB per formula unit
1.0
4.4744 0.0000 0.0000
0.0000 4.4744 0.0000
0.0000 0.0000 4.5826
P Hg S Cu
2 1 1 1
Direct
0.0000 0.5000 0.0000 P
0.5000 0.0000 0.0000 P
0.5000 0.5000 0.5000 Hg
0.0000 0.0000 0.5000 S
0.0000 0.0000 0.0000 Cu

---

No. 20
Hf4N3 (GGA-PBEsol, optimized geometry); formation energy (no corrections) = -1711 meV/atom; total moment = 0.00 μB per formula unit
1.0
-3.4794 -2.7784 0.4824
2.2173 -3.1688 -2.2583
2.3869 1.4463 4.7550
N Hf
3 4
Direct
0.7500 0.2500 0.5000 N
0.0000 0.0000 0.0000 N
0.2500 0.7500 0.5000 N
0.2388 0.2388 0.4776 Hf
0.5000 0.0000 0.0000 Hf
0.7612 0.7612 0.5224 Hf
0.0000 0.5000 0.0000 Hf